(1)
Compound: Sr4PS2Cl
Source: Alexandria
Functional: PBE
Structure: optimized geometry

## Properties
E_form (uncorrected) (eV/atom): -1.905
Space-group type: No. 139

Cell: 6.0990 6.0990 7.5458 Å, 113.84 113.84 90.00°
Last column: nearest neighbours and their distance in Å.
Element x y z (fractional)
Sr 0.9371 0.4372 0.0000  2 P 3.05, 2 Cl 3.05, 2 S 3.10
Sr 0.4372 0.9371 0.0000  2 P 3.05, 2 Cl 3.05, 2 S 3.10
Sr 0.1737 0.1737 0.4730  1 P 2.93, 4 S 3.05, 1 Cl 3.26
Sr 0.7007 0.7007 0.5270  1 P 2.93, 4 S 3.05, 1 Cl 3.26
P 0.9372 0.9372 0.0000  6 Sr 2.93-3.05
S 0.1872 0.6872 0.5000  6 Sr 3.05-3.10
S 0.6872 0.1872 0.5000  6 Sr 3.05-3.10
Cl 0.4371 0.4371 0.0000  6 Sr 3.05-3.26

---

(2)
Compound: SrPSCl2
Source: Alexandria
Functional: PBE
Structure: optimized geometry

## Properties
E_form (uncorrected) (eV/atom): -0.889
Energy relative to the lowest polymorph listed for this composition (eV per atom): 0.000
Space-group type: No. 123
Fermi-level density of states (states/eV/f.u.): 0.19

Cell: 4.8351 4.8351 5.0231 Å, 90.00 90.00 90.00°
Last column: nearest neighbours and their distance in Å.
Element x y z (fractional)
Sr 0.5000 0.5000 0.5000  4 S 3.42, 8 Cl 3.49
S 0.0000 0.0000 0.5000  2 P 2.51
P 0.0000 0.0000 0.0000  4 Cl 2.42, 2 S 2.51
Cl 0.0000 0.5000 0.0000  2 P 2.42
Cl 0.5000 0.0000 0.0000  2 P 2.42

---

(3)
Compound: SrPSCl2
Source: Alexandria
Functional: PBE
Structure: optimized geometry

## Properties
E_form (uncorrected) (eV/atom): -0.219
Energy relative to the lowest polymorph listed for this composition (eV per atom): 0.670
Space-group type: No. 123
Fermi-level density of states (states/eV/f.u.): 3.42

Cell: 5.5356 5.5356 6.1742 Å, 90.00 90.00 90.00°
Last column: nearest neighbours and their distance in Å.
Element x y z (fractional)
Sr 0.0000 0.0000 0.0000  4 Cl 2.77, 2 S 3.09
S 0.0000 0.0000 0.5000  2 Sr 3.09
P 0.5000 0.5000 0.5000  4 S 3.91, 8 Cl 4.15
Cl 0.0000 0.5000 0.0000  2 Sr 2.77
Cl 0.5000 0.0000 0.0000  2 Sr 2.77

---

(4)
Compound: TaP4S4Cl5
Source: Alexandria
Functional: PBE
Structure: optimized geometry

## Properties
E_form (uncorrected) (eV/atom): -0.670
Space-group type: No. 2
Fermi-level density of states (states/eV/f.u.): 0.00

Cell: 7.2196 9.7353 14.2880 Å, 104.27 86.77 111.16°
Last column: nearest neighbours and their distance in Å.
Element x y z (fractional)
Ta 0.8656 0.2639 0.1705  5 Cl 2.29-2.36
Ta 0.1344 0.7361 0.8295  5 Cl 2.29-2.36
P 0.8824 0.6185 0.4244  2 S 2.12
P 0.1176 0.3815 0.5756  2 S 2.12
P 0.8792 0.5576 0.2528  2 S 2.10-2.11
P 0.1208 0.4424 0.7472  2 S 2.10-2.11
P 0.9291 0.0873 0.6670  2 S 2.12-2.13
P 0.2856 0.1779 0.6717  2 S 2.12-2.13
P 0.7144 0.8221 0.3283  2 S 2.12-2.13
P 0.0709 0.9127 0.3330  2 S 2.12-2.13
S 0.8766 0.1707 0.5505  2 P 2.12-2.13
S 0.1200 0.7402 0.2222  2 P 2.11-2.12
S 0.6486 0.6207 0.2161  2 P 2.10-2.12
S 0.8800 0.2598 0.7778  2 P 2.11-2.12
S 0.1234 0.8293 0.4495  2 P 2.12-2.13
S 0.6553 0.7115 0.4436  2 P 2.12-2.13
S 0.3447 0.2885 0.5564  2 P 2.12-2.13
S 0.3514 0.3793 0.7839  2 P 2.10-2.12
Cl 0.8904 0.6208 0.9283  1 Ta 2.33
Cl 0.1460 0.9809 0.8843  1 Ta 2.29
Cl 0.3770 0.7434 0.9334  1 Ta 2.33
Cl 0.1096 0.3792 0.0717  1 Ta 2.33
Cl 0.6243 0.2212 0.2888  1 Ta 2.36
Cl 0.3757 0.7788 0.7112  1 Ta 2.36
Cl 0.1123 0.3432 0.2934  1 Ta 2.35
Cl 0.8877 0.6568 0.7066  1 Ta 2.35
Cl 0.6230 0.2566 0.0666  1 Ta 2.33
Cl 0.8540 0.0191 0.1157  1 Ta 2.29

---

(5)
Compound: TaP2SCl
Source: Alexandria
Functional: PBE
Structure: optimized geometry

## Properties
E_form (uncorrected) (eV/atom): 1.060
Energy relative to the lowest polymorph listed for this composition (eV per atom): 0.868
Space-group type: No. 123
Fermi-level density of states (states/eV/f.u.): 3.20

Cell: 4.5428 4.5428 4.2829 Å, 90.00 90.00 90.00°
Last column: nearest neighbours and their distance in Å.
Element x y z (fractional)
P 0.0000 0.5000 0.0000  2 S 2.27
P 0.5000 0.0000 0.0000  2 S 2.27
S 0.0000 0.0000 0.0000  2 Cl 2.14, 4 P 2.27
Cl 0.0000 0.0000 0.5000  2 S 2.14
Ta 0.5000 0.5000 0.5000  8 P 3.12, 4 Cl 3.21

---

(6)
Compound: TaP2SCl
Source: Alexandria
Functional: PBE
Structure: optimized geometry

## Properties
E_form (uncorrected) (eV/atom): 0.192
Energy relative to the lowest polymorph listed for this composition (eV per atom): 0.000
Space-group type: No. 123
Fermi-level density of states (states/eV/f.u.): 3.65

Cell: 4.8942 4.8942 4.6728 Å, 90.00 90.00 90.00°
Last column: nearest neighbours and their distance in Å.
Element x y z (fractional)
P 0.0000 0.5000 0.0000  2 Ta 2.45
P 0.5000 0.0000 0.0000  2 Ta 2.45
S 0.0000 0.0000 0.5000  2 Ta 2.34
Cl 0.5000 0.5000 0.5000  8 P 3.38, 4 S 3.46
Ta 0.0000 0.0000 0.0000  2 S 2.34, 4 P 2.45

---

(7)
Compound: TaP4S6Cl5
Source: Alexandria
Functional: PBE
Structure: optimized geometry

## Properties
E_form (uncorrected) (eV/atom): -0.614
Space-group type: No. 2
Fermi-level density of states (states/eV/f.u.): 0.00

Cell: 7.6948 12.1287 11.9740 Å, 104.31 93.61 107.04°
Last column: nearest neighbours and their distance in Å.
Element x y z (fractional)
P 0.9216 0.5784 0.2840  4 S 1.99-2.10
P 0.2125 0.8294 0.4437  2 S 2.12-2.13, 1 P 2.34
P 0.9179 0.8039 0.4964  2 S 2.13, 1 P 2.34
P 0.0784 0.4216 0.7160  4 S 1.99-2.10
P 0.0821 0.1961 0.5036  2 S 2.13, 1 P 2.34
P 0.7875 0.1706 0.5563  2 S 2.12-2.13, 1 P 2.34
P 0.0717 0.1489 0.7716  3 S 2.11-2.18
P 0.9283 0.8511 0.2284  3 S 2.11-2.18
S 0.1401 0.3423 0.8432  2 P 2.09-2.18
S 0.2046 0.9145 0.3093  2 P 2.11-2.12
S 0.2125 0.3852 0.5704  2 P 2.10-2.13
S 0.8015 0.3501 0.6420  2 P 2.09-2.13
S 0.1985 0.6499 0.3580  2 P 2.09-2.13
S 0.7954 0.0855 0.6907  2 P 2.11-2.12
S 0.8748 0.4049 0.2090  1 P 1.99
S 0.7875 0.6148 0.4296  2 P 2.10-2.13
S 0.1252 0.5951 0.7910  1 P 1.99
S 0.2013 0.1225 0.6206  2 P 2.12-2.13
S 0.7987 0.8775 0.3794  2 P 2.12-2.13
S 0.8599 0.6577 0.1568  2 P 2.09-2.18
Cl 0.4311 0.4367 0.1687  1 Ta 2.33
Cl 0.2213 0.1281 0.1104  1 Ta 2.29
Cl 0.5689 0.5633 0.8313  1 Ta 2.33
Cl 0.6717 0.1268 0.1604  1 Ta 2.35
Cl 0.4860 0.7015 0.6401  1 Ta 2.36
Cl 0.4428 0.7482 0.0366  1 Ta 2.34
Cl 0.5140 0.2985 0.3599  1 Ta 2.36
Cl 0.5572 0.2518 0.9634  1 Ta 2.34
Cl 0.3283 0.8732 0.8396  1 Ta 2.35
Cl 0.7787 0.8719 0.8896  1 Ta 2.29
Ta 0.4884 0.7363 0.8433  5 Cl 2.29-2.36
Ta 0.5116 0.2637 0.1567  5 Cl 2.29-2.36

---

(8)
Compound: TaP2SCl
Source: Alexandria
Functional: PBE
Structure: optimized geometry

## Properties
E_form (uncorrected) (eV/atom): 1.320
Energy relative to the lowest polymorph listed for this composition (eV per atom): 1.128
Space-group type: No. 123
Fermi-level density of states (states/eV/f.u.): 2.99

Cell: 4.3880 4.3880 4.5640 Å, 90.00 90.00 90.00°
Last column: nearest neighbours and their distance in Å.
Element x y z (fractional)
P 0.0000 0.5000 0.0000  2 Cl 2.19
P 0.5000 0.0000 0.0000  2 Cl 2.19
S 0.0000 0.0000 0.5000  2 Cl 2.28
Cl 0.0000 0.0000 0.0000  4 P 2.19, 2 S 2.28
Ta 0.5000 0.5000 0.5000  4 S 3.10, 8 P 3.17

---

(9)
Compound: TaP2SCl
Source: Alexandria
Functional: PBE
Structure: optimized geometry

## Properties
E_form (uncorrected) (eV/atom): 0.430
Energy relative to the lowest polymorph listed for this composition (eV per atom): 0.238
Space-group type: No. 123
Fermi-level density of states (states/eV/f.u.): 4.01

Cell: 4.8913 4.8913 4.6521 Å, 90.00 90.00 90.00°
Last column: nearest neighbours and their distance in Å.
Element x y z (fractional)
P 0.0000 0.5000 0.0000  2 Ta 2.45
P 0.5000 0.0000 0.0000  2 Ta 2.45
S 0.5000 0.5000 0.5000  8 P 3.38, 4 Cl 3.46
Cl 0.0000 0.0000 0.5000  2 Ta 2.33
Ta 0.0000 0.0000 0.0000  2 Cl 2.33, 4 P 2.45

---

(10)
Compound: TaP4S10Cl5
Source: Alexandria
Functional: PBE
Structure: optimized geometry

## Properties
E_form (uncorrected) (eV/atom): -0.519
Space-group type: No. 2
Fermi-level density of states (states/eV/f.u.): 0.00

Cell: 10.4475 11.9922 12.5670 Å, 70.41 67.36 67.28°
Last column: nearest neighbours and their distance in Å.
Element x y z (fractional)
Ta 0.4666 0.3717 0.6506  4 Cl 2.27-2.32
Ta 0.5334 0.6283 0.3494  4 Cl 2.27-2.32
P 0.4782 0.1753 0.2259  4 S 1.92-2.12
P 0.5218 0.8247 0.7741  4 S 1.92-2.12
P 0.1934 0.1528 0.1646  4 S 1.92-2.12
P 0.8066 0.8472 0.8354  4 S 1.92-2.12
P 0.2014 0.4393 0.1638  4 S 1.92-2.12
P 0.7986 0.5607 0.8362  4 S 1.92-2.12
P 0.1346 0.2245 0.4277  4 S 1.92-2.12
P 0.8654 0.7755 0.5723  4 S 1.92-2.12
S 0.3603 0.1521 0.4077  2 P 2.12
S 0.6397 0.8479 0.5923  2 P 2.12
S 0.1557 0.6125 0.0893  1 P 1.92
S 0.8443 0.3875 0.9107  1 P 1.92
S 0.9707 0.7969 0.4070  1 P 1.92
S 0.0293 0.2031 0.5930  1 P 1.92
S 0.1419 0.0666 0.0904  1 P 1.92
S 0.8581 0.9334 0.9096  1 P 1.92
S 0.0844 0.4155 0.3459  2 P 2.12
S 0.9156 0.5845 0.6541  2 P 2.12
S 0.4269 0.3665 0.1446  2 P 2.12
S 0.5731 0.6335 0.8554  2 P 2.12
S 0.4191 0.0808 0.1451  2 P 2.12
S 0.5809 0.9192 0.8549  2 P 2.12
S 0.0764 0.1297 0.3466  2 P 2.12
S 0.9236 0.8703 0.6534  2 P 2.12
S 0.6828 0.1092 0.2084  1 P 1.92
S 0.3172 0.8908 0.7916  1 P 1.92
S 0.1433 0.3439 0.0833  2 P 2.12
S 0.8567 0.6561 0.9167  2 P 2.12
Cl 0.3655 0.4905 0.4736  2 Ta 2.57-2.58
Cl 0.6345 0.5095 0.5264  2 Ta 2.57-2.58
Cl 0.6266 0.2313 0.5332  1 Ta 2.32
Cl 0.3734 0.7687 0.4668  1 Ta 2.32
Cl 0.2958 0.2697 0.7292  1 Ta 2.27
Cl 0.7042 0.7303 0.2708  1 Ta 2.27
Cl 0.4089 0.7092 0.2134  1 Ta 2.28
Cl 0.5911 0.2908 0.7866  1 Ta 2.28
Cl 0.6859 0.4596 0.2653  1 Ta 2.32
Cl 0.3141 0.5404 0.7347  1 Ta 2.32

---

(11)
Compound: Tb8P3S4Cl
Source: Alexandria
Functional: PBE
Structure: optimized geometry

## Properties
E_form (uncorrected) (eV/atom): -1.832
Space-group type: No. 166
Fermi-level density of states (states/eV/f.u.): 6.17

Cell: 7.9839 7.9336 7.9840 Å, 120.21 120.00 90.00°
Last column: nearest neighbours and their distance in Å.
Element x y z (fractional)
Tb 0.2623 0.7557 0.9935  3 S 2.68-2.86, 2 P 2.78, 1 Cl 2.95
Tb 0.2623 0.7557 0.5245  3 S 2.68-2.85, 2 P 2.78, 1 Cl 2.95
Tb 0.2529 0.2588 0.5059  3 P 2.78, 3 S 2.85
Tb 0.7312 0.7557 0.9935  3 S 2.68-2.86, 2 P 2.78, 1 Cl 2.95
Tb 0.2688 0.2443 0.0065  3 S 2.68-2.86, 2 P 2.78, 1 Cl 2.95
Tb 0.7471 0.7412 0.4941  3 P 2.78, 3 S 2.85
Tb 0.7377 0.2443 0.4755  3 S 2.68-2.85, 2 P 2.78, 1 Cl 2.95
Tb 0.7377 0.2443 0.0065  3 S 2.68-2.86, 2 P 2.78, 1 Cl 2.95
P 0.5000 0.5000 0.0000  6 Tb 2.78
P 0.5000 0.5000 0.5000  6 Tb 2.78
P 0.0000 0.5000 0.5000  6 Tb 2.78
S 0.5000 0.0000 0.0000  6 Tb 2.68
S 0.5000 0.0000 0.5000  6 Tb 2.85-2.86
S 0.0000 0.0000 0.0000  6 Tb 2.85
S 0.0000 0.0000 0.5000  6 Tb 2.85-2.86
Cl 0.0000 0.5000 0.0000  6 Tb 2.95